First-principles (PBE-GGA) data for crystalline AcCrSi2Pt5 at its relaxed geometry, as listed in Alexandria.

Computed properties:
- Formation energy from raw total energies: -635 meV per atom
- Space group: P4/mmm, No. 123
- VASP energy: -6.72 eV per atom
- DOS at the Fermi energy: 5.61 states/eV/cell

Cell lengths 4.1738, 4.1738, 10.2485 Å; angles 90.00, 90.00, 90.00 degrees
With the nearest neighbours (Å) after each atom.
Atoms (fractional coordinates):
Ac (0.0000, 0.0000, 0.5000)  4 Pt 2.95
Cr (0.0000, 0.0000, 0.0000)  8 Pt 2.63
Si (0.5000, 0.5000, 0.2689)  5 Pt 2.37-2.39
Si (0.5000, 0.5000, 0.7311)  5 Pt 2.37-2.39
Pt (0.0000, 0.5000, 0.1561)  2 Si 2.39, 2 Cr 2.63
Pt (0.5000, 0.0000, 0.1561)  2 Si 2.39, 2 Cr 2.63
Pt (0.0000, 0.5000, 0.8439)  2 Si 2.39, 2 Cr 2.63
Pt (0.5000, 0.0000, 0.8439)  2 Si 2.39, 2 Cr 2.63
Pt (0.5000, 0.5000, 0.5000)  2 Si 2.37